Below is a relaxed InMoN2F crystal, with properties calculated at the PBE with a Hubbard U level.

Summary:
Symmetry: No. 123
E in eV/atom: -4.971

Cell and atoms, written as extended XYZ:
```
5
Lattice="4.251 0.000 0.000 0.000 4.251 0.000 0.000 0.000 4.153" Properties=species:S:1:pos:R:3 pbc="T T T"
N 0.000 2.125 0.000
N 2.125 0.000 0.000
Mo 2.125 2.125 2.076
F 0.000 0.000 2.076
In 0.000 0.000 0.000
```